# TlPd12Au6, relaxed, DFT PBE
data_TlPd12Au6
_symmetry_space_group_name_H-M 'P 1'
_symmetry_Int_Tables_number 1
_cell_length_a 7.0795
_cell_length_b 7.0795
_cell_length_c 7.0795
_cell_angle_alpha 102.00
_cell_angle_beta 102.00
_cell_angle_gamma 102.00
loop_
_symmetry_equiv_pos_as_xyz
'x,y,z'
loop_
_atom_site_label
_atom_site_type_symbol
_atom_site_fract_x
_atom_site_fract_y
_atom_site_fract_z
Pd1 Pd 0.4107 0.4104 0.8147
Pd2 Pd 0.0002 0.2601 0.7399
Pd3 Pd 0.5896 0.1853 0.5893
Pd4 Pd 0.7399 0.0002 0.2601
Pd5 Pd 0.5893 0.5896 0.1853
Pd6 Pd 0.2601 0.9998 0.7399
Pd7 Pd 0.1853 0.5893 0.5896
Pd8 Pd 0.4104 0.8147 0.4107
Pd9 Pd 0.9998 0.7399 0.2601
Pd10 Pd 0.2601 0.7399 0.0002
Pd11 Pd 0.8147 0.4107 0.4104
Pd12 Pd 0.7399 0.2601 0.9998
Au1 Au 0.1716 0.1711 0.4311
Au2 Au 0.5689 0.8284 0.8289
Au3 Au 0.8289 0.5689 0.8284
Au4 Au 0.4311 0.1716 0.1711
Au5 Au 0.8284 0.8289 0.5689
Au6 Au 0.1711 0.4311 0.1716
Tl1 Tl 0.0000 0.0000 0.0000
# E above lowest polymorph, meV/atom: 135
# Energy relative to the elements, eV/f.u.: 0.72
# SG: R-3m (166)
# DFT total energy, eV per cell: -83.6

---

# BeReOs2, relaxed, DFT PBE
data_BeReOs2
_symmetry_space_group_name_H-M 'P 1'
_symmetry_Int_Tables_number 1
_cell_length_a 2.8156
_cell_length_b 4.4453
_cell_length_c 4.3612
_cell_angle_alpha 90.00
_cell_angle_beta 90.00
_cell_angle_gamma 90.00
loop_
_symmetry_equiv_pos_as_xyz
'x,y,z'
loop_
_atom_site_label
_atom_site_type_symbol
_atom_site_fract_x
_atom_site_fract_y
_atom_site_fract_z
Re1 Re 0.5000 0.0000 0.5000
Os1 Os 0.5000 0.5000 0.0000
Os2 Os 0.0000 0.0000 0.0000
Be1 Be 0.0000 0.5000 0.5000
# Energy relative to the elements, eV/f.u.: 1.51
# SG: Pmmm (47)
# DFT total energy, eV per cell: -37.1

---

# PrCdHgAu, relaxed, DFT PBE
data_PrCdHgAu
_symmetry_space_group_name_H-M 'P 1'
_symmetry_Int_Tables_number 1
_cell_length_a 5.1254
_cell_length_b 5.1254
_cell_length_c 5.1254
_cell_angle_alpha 60.00
_cell_angle_beta 60.00
_cell_angle_gamma 60.00
loop_
_symmetry_equiv_pos_as_xyz
'x,y,z'
loop_
_atom_site_label
_atom_site_type_symbol
_atom_site_fract_x
_atom_site_fract_y
_atom_site_fract_z
Pr1 Pr 0.7500 0.7500 0.7500
Hg1 Hg 0.0000 0.0000 0.0000
Cd1 Cd 0.2500 0.2500 0.2500
Au1 Au 0.5000 0.5000 0.5000
# Energy relative to the elements, eV/f.u.: -2.11
# SG: F-43m (216)
# DFT total energy, eV per cell: -11.4